(i)
VASP calculation (PBE) on a relaxed SiAsC3 crystal.

Lattice parameters (Å, degrees): 3.814 3.814 3.814 90.00 90.00 90.00
Sites, in units of the cell vectors:
Si1 0.000 0.000 0.000
As1 0.500 0.500 0.500
C1 0.000 0.000 0.500
C2 0.000 0.500 0.000
C3 0.500 0.000 0.000

Values from the calculation:
SG: Pm-3m, No. 221

---

(ii)
VASP calculation (PBE) on a relaxed SiAsC3 crystal.

Lattice parameters (Å, degrees): 3.917 3.917 3.917 90.00 90.00 90.00
Sites, in units of the cell vectors:
Si1 0.000 0.000 0.000
As1 0.500 0.500 0.500
C1 0.000 0.500 0.500
C2 0.500 0.000 0.500
C3 0.500 0.500 0.000

Values from the calculation:
SG: Pm-3m, No. 221

---

It is (ii) that is the least stable of them.

---

(i)
VASP calculation (PBE) on a relaxed Si2AsC crystal.

Lattice parameters (Å, degrees): 4.253 4.253 4.253 60.00 60.00 60.00
Sites, in units of the cell vectors:
Si1 0.250 0.250 0.250
Si2 0.750 0.750 0.750
As1 0.000 0.000 0.000
C1 0.500 0.500 0.500

Values from the calculation:
SG: Fm-3m, No. 225

---

(ii)
VASP calculation (PBE) on a relaxed Si2AsC crystal.

Lattice parameters (Å, degrees): 5.716 5.716 5.716 125.57 125.57 80.60
Sites, in units of the cell vectors:
Si1 0.045 0.625 0.920
Si2 0.375 0.295 0.420
Si3 0.705 0.125 0.080
Si4 0.875 0.955 0.580
As1 0.250 0.750 0.500
As2 0.500 0.500 0.000
C1 0.000 0.000 0.000
C2 0.750 0.250 0.500

Values from the calculation:
SG: I-42d, No. 122

---

It is (i) that is the least stable of them.

---

(i)
VASP calculation (PBE) on a relaxed SnAsC2 crystal.

Lattice parameters (Å, degrees): 4.232 4.232 4.232 60.00 60.00 60.00
Sites, in units of the cell vectors:
Sn1 0.000 0.000 0.000
As1 0.500 0.500 0.500
C1 0.250 0.250 0.250
C2 0.750 0.750 0.750

Values from the calculation:
SG: Fm-3m, No. 225

---

(ii)
VASP calculation (PBE) on a relaxed SnAsC2 crystal.

Lattice parameters (Å, degrees): 6.024 6.024 6.024 131.33 131.33 71.28
Sites, in units of the cell vectors:
Sn1 0.000 0.000 0.000
Sn2 0.750 0.250 0.500
As1 0.250 0.750 0.500
As2 0.500 0.500 0.000
C1 0.156 0.625 0.031
C2 0.375 0.406 0.531
C3 0.594 0.125 0.969
C4 0.875 0.844 0.469

Values from the calculation:
SG: I-42d, No. 122

---

It is (i) that is the least stable of them.

---

(i)
VASP calculation (PBE) on a relaxed Sn2AsC crystal.

Lattice parameters (Å, degrees): 6.740 6.740 6.740 128.01 128.01 76.61
Sites, in units of the cell vectors:
Sn1 0.056 0.625 0.931
Sn2 0.375 0.306 0.431
Sn3 0.694 0.125 0.069
Sn4 0.875 0.944 0.569
As1 0.250 0.750 0.500
As2 0.500 0.500 0.000
C1 0.000 0.000 0.000
C2 0.750 0.250 0.500

Values from the calculation:
SG: I-42d, No. 122

---

(ii)
VASP calculation (PBE) on a relaxed Sn2AsC crystal.

Lattice parameters (Å, degrees): 4.812 4.812 4.812 60.00 60.00 60.00
Sites, in units of the cell vectors:
Sn1 0.250 0.250 0.250
Sn2 0.750 0.750 0.750
As1 0.000 0.000 0.000
C1 0.500 0.500 0.500

Values from the calculation:
SG: Fm-3m, No. 225

---

It is (ii) that is the least stable of them.

---

(i)
VASP calculation (PBE) on a relaxed SrAsC3 crystal.

Lattice parameters (Å, degrees): 4.094 4.094 4.094 90.00 90.00 90.00
Sites, in units of the cell vectors:
Sr1 0.000 0.000 0.000
As1 0.500 0.500 0.500
C1 0.000 0.500 0.500
C2 0.500 0.000 0.500
C3 0.500 0.500 0.000

Values from the calculation:
SG: Pm-3m, No. 221

---

(ii)
VASP calculation (PBE) on a relaxed SrAsC3 crystal.

Lattice parameters (Å, degrees): 4.641 4.641 4.641 90.00 90.00 90.00
Sites, in units of the cell vectors:
Sr1 0.000 0.000 0.000
As1 0.500 0.500 0.500
C1 0.000 0.000 0.500
C2 0.000 0.500 0.000
C3 0.500 0.000 0.000

Values from the calculation:
SG: Pm-3m, No. 221

---

It is (ii) that is the least stable of them.

---

(i)
VASP calculation (PBE) on a relaxed Sr2AsC crystal.

Lattice parameters (Å, degrees): 5.227 5.227 5.227 60.00 60.00 60.00
Sites, in units of the cell vectors:
Sr1 0.250 0.250 0.250
Sr2 0.750 0.750 0.750
As1 0.000 0.000 0.000
C1 0.500 0.500 0.500

Values from the calculation:
SG: Fm-3m, No. 225

---

(ii)
VASP calculation (PBE) on a relaxed Sr2AsC crystal.

Lattice parameters (Å, degrees): 6.572 6.572 6.572 107.96 107.96 112.53
Sites, in units of the cell vectors:
Sr1 0.078 0.625 0.953
Sr2 0.375 0.328 0.453
Sr3 0.672 0.125 0.047
Sr4 0.875 0.922 0.547
As1 0.250 0.750 0.500
As2 0.500 0.500 0.000
C1 0.000 0.000 0.000
C2 0.750 0.250 0.500

Values from the calculation:
SG: I-42d, No. 122

---

It is (ii) that is the least stable of them.